# PmHfRu2

PmHfRu2 after structural relaxation (PBE, the Alexandria database).

Results
Crystal system: tetragonal
Spin magnetization in μB/cell: 0.00
Relative energy among the computed polymorphs in meV per atom: 0
DFT total energy in eV/atom: -8.7708

Cell lengths 3.328, 3.328, 6.864 Å; angles 90.00, 90.00, 90.00 degrees
Fractional coordinates of all 4 atoms:
Pm 0.000 0.000 0.000
Hf 0.000 0.000 0.500
Ru 0.500 0.500 0.277
Ru 0.500 0.500 0.723



# PmHfRu

PmHfRu after structural relaxation (PBE, the Alexandria database).

Results
Crystal system: monoclinic
Spin magnetization in μB/cell: 0.00
DFT total energy in eV/atom: -8.3217

Cell lengths 7.080, 4.509, 12.854 Å; angles 90.00, 91.40, 90.00 degrees
Fractional coordinates of all 18 atoms:
Pm 0.010 0.250 0.377
Pm 0.117 0.250 0.086
Pm 0.486 0.250 0.290
Pm 0.514 0.750 0.710
Pm 0.883 0.750 0.914
Pm 0.990 0.750 0.623
Hf 0.164 0.250 0.788
Hf 0.356 0.750 0.458
Hf 0.461 0.750 0.084
Hf 0.539 0.250 0.916
Hf 0.644 0.250 0.542
Hf 0.836 0.750 0.212
Ru 0.201 0.750 0.240
Ru 0.277 0.250 0.565
Ru 0.310 0.750 0.891
Ru 0.690 0.250 0.109
Ru 0.723 0.750 0.435
Ru 0.799 0.250 0.760



# PmHf4Ru5

PmHf4Ru5 after structural relaxation (PBE, the Alexandria database).

Results
Crystal system: tetragonal
Spin magnetization in μB/cell: 0.00
DFT total energy in eV/atom: -9.7743

Cell lengths 3.271, 3.271, 16.688 Å; angles 90.00, 90.00, 90.00 degrees
Fractional coordinates of all 10 atoms:
Pm 0.000 0.000 0.000
Hf 0.000 0.000 0.207
Hf 0.000 0.000 0.402
Hf 0.000 0.000 0.598
Hf 0.000 0.000 0.793
Ru 0.500 0.500 0.119
Ru 0.500 0.500 0.308
Ru 0.500 0.500 0.500
Ru 0.500 0.500 0.692
Ru 0.500 0.500 0.881



# PmHfRu2

PmHfRu2 after structural relaxation (PBE, the Alexandria database).

Results
Crystal system: cubic
Spin magnetization in μB/cell: 0.00
Relative energy among the computed polymorphs in meV per atom: 80
DFT total energy in eV/atom: -8.6912

Cell lengths 4.751, 4.751, 4.751 Å; angles 60.00, 60.00, 60.00 degrees
Fractional coordinates of all 4 atoms:
Pm 0.000 0.000 0.000
Hf 0.500 0.500 0.500
Ru 0.250 0.250 0.250
Ru 0.750 0.750 0.750



# PmHfTcRu

PmHfTcRu after structural relaxation (PBE, the Alexandria database).

Results
Crystal system: cubic
Spin magnetization in μB/cell: 0.00
DFT total energy in eV/atom: -8.7569

Cell lengths 4.755, 4.755, 4.755 Å; angles 60.00, 60.00, 60.00 degrees
Fractional coordinates of all 4 atoms:
Pm 0.000 0.000 0.000
Hf 0.500 0.500 0.500
Tc 0.250 0.250 0.250
Ru 0.750 0.750 0.750



# PmHfZnRu

PmHfZnRu after structural relaxation (PBE, the Alexandria database).

Results
Crystal system: cubic
Spin magnetization in μB/cell: 0.00
DFT total energy in eV/atom: -6.5315

Cell lengths 4.846, 4.846, 4.846 Å; angles 60.00, 60.00, 60.00 degrees
Fractional coordinates of all 4 atoms:
Pm 0.000 0.000 0.000
Hf 0.500 0.500 0.500
Zn 0.250 0.250 0.250
Ru 0.750 0.750 0.750



# Pm2HfS5

Pm2HfS5 after structural relaxation (PBE, the Alexandria database).

Results
Crystal system: orthorhombic
Spin magnetization in μB/cell: 0.00
Raw formation energy in kcal/mol of atoms: -43.9
Relative energy among the computed polymorphs in meV per atom: 0
DFT total energy in eV/atom: -6.9159

Cell lengths 11.611, 7.937, 7.358 Å; angles 90.00, 90.00, 90.00 degrees
Fractional coordinates of all 32 atoms:
Pm 0.177 0.002 0.032
Pm 0.177 0.498 0.032
Pm 0.323 0.502 0.532
Pm 0.323 0.998 0.532
Pm 0.677 0.002 0.468
Pm 0.677 0.498 0.468
Pm 0.823 0.502 0.968
Pm 0.823 0.998 0.968
Hf 0.007 0.750 0.574
Hf 0.493 0.250 0.074
Hf 0.507 0.750 0.926
Hf 0.993 0.250 0.426
S 0.005 0.750 0.943
S 0.087 0.035 0.664
S 0.087 0.465 0.664
S 0.183 0.750 0.342
S 0.206 0.250 0.320
S 0.294 0.750 0.820
S 0.317 0.250 0.842
S 0.413 0.535 0.164
S 0.413 0.965 0.164
S 0.495 0.250 0.443
S 0.505 0.750 0.557
S 0.587 0.035 0.836
S 0.587 0.465 0.836
S 0.683 0.750 0.158
S 0.706 0.250 0.180
S 0.794 0.750 0.680
S 0.817 0.250 0.658
S 0.913 0.535 0.336
S 0.913 0.965 0.336
S 0.995 0.250 0.057



# PmHf4S8

PmHf4S8 after structural relaxation (PBE, the Alexandria database).

Results
Crystal system: cubic
Spin magnetization in μB/cell: 0.00
Raw formation energy in kcal/mol of atoms: -35.6
DFT total energy in eV/atom: -7.5106

Cell lengths 7.575, 7.575, 7.575 Å; angles 60.00, 60.00, 60.00 degrees
Fractional coordinates of all 13 atoms:
Pm 0.000 0.000 0.000
Hf 0.161 0.613 0.613
Hf 0.613 0.161 0.613
Hf 0.613 0.613 0.161
Hf 0.613 0.613 0.613
S 0.377 0.377 0.377
S 0.377 0.377 0.869
S 0.377 0.869 0.377
S 0.425 0.858 0.858
S 0.858 0.425 0.858
S 0.858 0.858 0.425
S 0.858 0.858 0.858
S 0.869 0.377 0.377



# Pm2HfS5

Pm2HfS5 after structural relaxation (PBE, the Alexandria database).

Results
Crystal system: orthorhombic
Spin magnetization in μB/cell: 0.00
Raw formation energy in kcal/mol of atoms: -41.5
Relative energy among the computed polymorphs in meV per atom: 104
DFT total energy in eV/atom: -6.8121

Cell lengths 7.287, 7.287, 12.946 Å; angles 90.00, 90.00, 137.94 degrees
Fractional coordinates of all 16 atoms:
Pm 0.144 0.856 0.564
Pm 0.144 0.856 0.936
Pm 0.856 0.144 0.064
Pm 0.856 0.144 0.436
Hf 0.185 0.815 0.250
Hf 0.815 0.185 0.750
S 0.049 0.951 0.124
S 0.049 0.951 0.376
S 0.272 0.728 0.750
S 0.300 0.700 0.090
S 0.300 0.700 0.410
S 0.700 0.300 0.590
S 0.700 0.300 0.910
S 0.728 0.272 0.250
S 0.951 0.049 0.624
S 0.951 0.049 0.876



# Pm2Hf2S7

Pm2Hf2S7 after structural relaxation (PBE, the Alexandria database).

Results
Crystal system: monoclinic
Spin magnetization in μB/cell: 0.00
Raw formation energy in kcal/mol of atoms: -38.4
DFT total energy in eV/atom: -6.9636

Cell lengths 7.264, 7.264, 6.783 Å; angles 94.57, 94.57, 111.80 degrees
Fractional coordinates of all 11 atoms:
Pm 0.187 0.813 0.000
Pm 0.813 0.187 0.000
Hf 0.233 0.233 0.609
Hf 0.767 0.767 0.391
S 0.069 0.069 0.269
S 0.095 0.446 0.785
S 0.446 0.095 0.785
S 0.500 0.500 0.500
S 0.554 0.905 0.215
S 0.905 0.554 0.215
S 0.931 0.931 0.731



# PmHf2S6

PmHf2S6 after structural relaxation (PBE, the Alexandria database).

Results
Crystal system: monoclinic
Spin magnetization in μB/cell: 0.00
Raw formation energy in kcal/mol of atoms: -33.6
DFT total energy in eV/atom: -6.9492

Cell lengths 6.744, 6.744, 8.847 Å; angles 124.39, 124.39, 44.12 degrees
Fractional coordinates of all 9 atoms:
Pm 0.000 0.000 0.000
Hf 0.173 0.173 0.585
Hf 0.827 0.827 0.415
S 0.055 0.055 0.728
S 0.275 0.275 0.399
S 0.373 0.373 0.932
S 0.627 0.627 0.068
S 0.725 0.725 0.601
S 0.945 0.945 0.272



# Pm5Hf2S12

Pm5Hf2S12 after structural relaxation (PBE, the Alexandria database).

Results
Crystal system: monoclinic
Spin magnetization in μB/cell: 0.00
Raw formation energy in kcal/mol of atoms: -41.9
DFT total energy in eV/atom: -6.7208

Cell lengths 8.590, 8.590, 8.929 Å; angles 105.52, 105.52, 49.47 degrees
Fractional coordinates of all 19 atoms:
Pm 0.000 0.000 0.000
Pm 0.296 0.296 0.142
Pm 0.312 0.312 0.666
Pm 0.688 0.688 0.334
Pm 0.704 0.704 0.858
Hf 0.252 0.748 0.500
Hf 0.748 0.252 0.500
S 0.003 0.003 0.310
S 0.090 0.573 0.413
S 0.103 0.600 0.932
S 0.400 0.897 0.068
S 0.427 0.910 0.587
S 0.497 0.497 0.293
S 0.503 0.503 0.707
S 0.573 0.090 0.413
S 0.600 0.103 0.932
S 0.897 0.400 0.068
S 0.910 0.427 0.587
S 0.997 0.997 0.690